Entry 1:
A plane-wave DFT calculation with PBE was carried out for crystalline NdSiAu2 at its relaxed geometry.

Computed properties:
SG = R-3m, No. 166
Volume = 87 Å³/cell

a = 5.9181 Å, b = 5.9181 Å, c = 5.9181 Å
α = 42.89°, β = 42.89°, γ = 42.89°
Last column: nearest neighbours and their distance in Å.
Sites, in units of the cell vectors:
Nd 0.0000 0.0000 0.0000  6 Au 3.10
Si 0.5000 0.5000 0.5000  6 Au 2.64
Au 0.2198 0.2198 0.2198  3 Si 2.64
Au 0.7802 0.7802 0.7802  3 Si 2.64

***

Entry 2:
A plane-wave DFT calculation with PBE was carried out for crystalline Nd3Si3Au at its relaxed geometry.

Computed properties:
SG = Imm2, No. 44
Volume = 166 Å³/cell

a = 9.7586 Å, b = 9.7586 Å, c = 9.7586 Å
α = 155.96°, β = 154.04°, γ = 35.67°
Last column: nearest neighbours and their distance in Å.
Sites, in units of the cell vectors:
Nd 0.0000 0.0000 0.0000  5 Si 3.08-3.18, 2 Au 3.15
Nd 0.1932 0.6932 0.5000  6 Si 3.19-3.34, 4 Au 3.27
Nd 0.3699 0.3699 0.0000  7 Si 3.08-3.16
Si 0.5400 0.5400 0.0000  2 Au 2.53
Si 0.7528 0.2528 0.5000  1 Au 2.44, 2 Si 2.48
Si 0.8289 0.8289 0.0000  2 Si 2.48
Au 0.6214 0.1214 0.5000  3 Si 2.44-2.53

***

Number 1: ΔE_f (raw) -50 kJ/mol of atoms, DOS at the Fermi energy 2.7 states/eV per cell. Number 2: ΔE_f (raw) -72 kJ/mol of atoms, DOS at the Fermi energy 6.0 states/eV per cell.